(1)
This record from Alexandria via LeMat-Bulk describes crystalline PaPt4Br at its relaxed geometry. The functional is PBE.

Unit cell a=5.411 b=5.411 c=5.411 alpha=60.00 beta=60.00 gamma=60.00
Element x y z (fractional)
Pa 0.000 0.000 0.000
Pt 0.375 0.375 0.375
Pt 0.375 0.375 0.876
Pt 0.375 0.876 0.375
Pt 0.876 0.375 0.375
Br 0.750 0.750 0.750

Summary:
- E_tot: -6.477 eV/atom
- DOS at the Fermi energy: 3.36 states/eV per cell
- Spin magnetization: 0.2 μB/cell
- Density: 16.175 g/cm3

***

(2)
This record from Alexandria via LeMat-Bulk describes crystalline GeTe2I at its relaxed geometry. The functional is PBE.

Unit cell a=14.689 b=14.689 c=14.689 alpha=12.67 beta=12.67 gamma=12.67
Element x y z (fractional)
Ge 0.000 0.000 0.000
Te 0.068 0.068 0.068
Te 0.932 0.932 0.932
I 0.500 0.500 0.500

Summary:
- DOS at the Fermi energy: 3.67 states/eV per cell
- Spin magnetization: 0.0 μB/cell
- Energy relative to the lowest polymorph listed for this composition: 258 meV per atom
- Density: 5.693 g/cm3

***

(3)
This record from Alexandria via LeMat-Bulk describes crystalline Hf2MnRe2 at its relaxed geometry. The functional is PBE.

Unit cell a=8.239 b=8.239 c=8.239 alpha=155.76 beta=155.76 gamma=34.54
Element x y z (fractional)
Hf 0.095 0.095 0.000
Hf 0.905 0.905 0.000
Mn 0.500 0.500 0.000
Re 0.250 0.750 0.500
Re 0.750 0.250 0.500

Summary:
- DOS at the Fermi energy: 2.10 states/eV per cell
- Spin magnetization: 0.0 μB/cell
- Energy of formation: 0.458 eV/atom
- Energy relative to the lowest polymorph listed for this composition: 430 meV per atom
- Density: 13.833 g/cm3

***

(4)
This record from Alexandria via LeMat-Bulk describes crystalline Er3AlCd at its relaxed geometry. The functional is PBE.

Unit cell a=10.414 b=10.414 c=5.061 alpha=90.00 beta=90.00 gamma=151.88
Element x y z (fractional)
Er 0.062 0.938 0.750
Er 0.250 0.750 0.750
Er 0.437 0.563 0.750
Er 0.563 0.437 0.250
Er 0.750 0.250 0.250
Er 0.938 0.062 0.250
Al 0.157 0.843 0.250
Al 0.843 0.157 0.750
Cd 0.343 0.657 0.250
Cd 0.657 0.343 0.750

Summary:
- DOS at the Fermi energy: 9.83 states/eV per cell
- Spin magnetization: 0.0 μB/cell
- Energy of formation: -0.267 eV/atom
- Energy relative to the lowest polymorph listed for this composition: 0 meV per atom
- Density: 8.232 g/cm3